Sm2Hf | PBE | optimized geometry

abc: 3.3838 3.3838 8.0089
angles: 102.20 102.20 90.00
Element x y z (fractional)
Hf (0.0000, 0.0000, 0.0000)
Sm (0.3462, 0.3462, 0.6924)
Sm (0.6538, 0.6538, 0.3076)

Calculated values
The space group is I4/mmm (139). The calculation puts the total magnetization at 0.000 Bohr magnetons per cell. For the density, the calculation gives 9.09 g/cm³. Its calculated volume is 29.2 Å³ per atom. As for the formation energy from the elements: 152 meV per atom.